1.
Density functional theory data (PBE) for an optimized crystal structure of BaTbCe2.

Values from the calculation:
* energy relative to the elements: 1.4 eV per formula unit
* M_tot: 0.461 μB per atom

Lattice parameters (Å, degrees): 3.539 3.539 13.050 82.21 82.21 60.00
Last column: magnetic moment on the atom in μB.
Element x y z (fractional)
Tb 0.500 0.500 0.500  -0.04
Ba 0.000 0.000 0.000  -0.03
Ce 0.092 0.092 0.724  0.79
Ce 0.908 0.908 0.276  0.79

2.
Density functional theory data (PBE) for an optimized crystal structure of BeTePt.

Values from the calculation:
* electronic total energy: -4.686 eV per atom
* M_tot: 0.000 μB per atom

Lattice parameters (Å, degrees): 3.263 3.834 9.195 90.00 100.51 90.00
Element x y z (fractional)
Be 0.225 0.451 0.662
Be 0.144 0.951 0.506
Te 0.518 0.950 0.257
Te 0.851 0.450 0.911
Pt 0.627 0.450 0.471
Pt 0.742 0.950 0.697

3.
Density functional theory data (PBE) for an optimized crystal structure of Pr9Nd2Tm.

Values from the calculation:
* energy relative to the elements: 0.2 eV per formula unit
* M_tot: 0.000 μB per atom

Lattice parameters (Å, degrees): 5.216 5.216 15.648 90.00 90.00 90.00
Element x y z (fractional)
Pr 0.500 0.500 0.000
Pr 0.500 0.500 0.332
Pr 0.500 0.500 0.668
Pr 0.500 0.000 0.164
Pr 0.500 0.000 0.500
Pr 0.500 0.000 0.836
Pr 0.000 0.500 0.164
Pr 0.000 0.500 0.500
Pr 0.000 0.500 0.836
Nd 0.000 0.000 0.332
Nd 0.000 0.000 0.668
Tm 0.000 0.000 0.000

4.
Density functional theory data (PBE) for an optimized crystal structure of SmYAu4.

Values from the calculation:
* energy relative to the elements: -5.0 eV per formula unit
* M_tot: 0.000 μB per atom

Lattice parameters (Å, degrees): 3.789 3.789 9.151 90.00 90.00 90.00
Element x y z (fractional)
Sm 0.000 0.000 0.000
Y 0.500 0.500 0.500
Au 0.500 0.500 0.832
Au 0.500 0.500 0.168
Au 0.000 0.000 0.663
Au 0.000 0.000 0.337

5.
Density functional theory data (PBE) for an optimized crystal structure of Th3P2IrRh9.

Values from the calculation:
* energy relative to the elements: -9.2 eV per formula unit
* M_tot: 0.000 μB per atom

Lattice parameters (Å, degrees): 5.671 5.671 10.284 90.00 90.00 120.00
Element x y z (fractional)
Th 0.333 0.667 0.599
Th 0.000 0.000 0.000
Th 0.667 0.333 0.401
P 0.333 0.667 0.155
P 0.667 0.333 0.845
Ir 0.000 0.000 0.500
Rh 0.839 0.161 0.703
Rh 0.839 0.679 0.703
Rh 0.321 0.161 0.703
Rh 0.679 0.839 0.297
Rh 0.161 0.321 0.297
Rh 0.161 0.839 0.297
Rh 0.500 0.000 0.000
Rh 0.000 0.500 0.000
Rh 0.500 0.500 0.000

6.
Density functional theory data (PBE) for an optimized crystal structure of Sr6LiRh2.

Values from the calculation:
* energy relative to the elements: -1.4 eV per formula unit
* M_tot: 0.000 μB per atom

Lattice parameters (Å, degrees): 9.416 9.416 9.416 104.33 111.13 113.08
Element x y z (fractional)
Sr 0.468 0.291 0.176
Sr 0.532 0.709 0.824
Sr 0.885 0.709 0.176
Sr 0.115 0.291 0.824
Sr 0.205 0.760 0.966
Sr 0.795 0.240 0.034
Sr 0.795 0.760 0.555
Sr 0.205 0.240 0.445
Sr 0.327 0.988 0.661
Sr 0.673 0.012 0.339
Sr 0.673 0.334 0.661
Sr 0.327 0.666 0.339
Li 0.000 0.500 0.500
Li 0.000 0.000 0.000
Rh 0.500 0.379 0.879
Rh 0.500 0.621 0.121
Rh 0.302 0.000 0.302
Rh 0.698 0.000 0.698

7.
Density functional theory data (PBE) for an optimized crystal structure of La2Er3PuSe6.

Values from the calculation:
* electronic total energy: -6.687 eV per atom
* M_tot: 0.502 μB per atom

Lattice parameters (Å, degrees): 4.104 8.387 9.320 104.23 102.72 90.00
Last column: magnetic moment on the atom in μB.
Element x y z (fractional)
La 0.835 0.668 0.669  -0.02
La 0.165 0.332 0.331  -0.02
Er 0.500 0.500 0.000  0.01
Er 0.832 0.164 0.665  0.00
Er 0.168 0.836 0.335  0.00
Pu 0.500 0.000 0.000  -5.55
Se 0.331 0.930 0.663  0.01
Se 0.662 0.596 0.324  -0.01
Se 0.669 0.070 0.337  0.01
Se 0.994 0.254 0.989  0.03
Se 0.006 0.746 0.011  0.03
Se 0.338 0.404 0.676  -0.01

8.
Density functional theory data (PBE) for an optimized crystal structure of CePrThCd.

Values from the calculation:
* energy relative to the elements: 0.4 eV per formula unit
* M_tot: 0.025 μB per atom

Lattice parameters (Å, degrees): 5.474 5.474 5.474 60.00 60.00 60.00
Element x y z (fractional)
Pr 0.000 0.000 0.000
Ce 0.250 0.250 0.250
Th 0.500 0.500 0.500
Cd 0.750 0.750 0.750

9.
Density functional theory data (PBE) for an optimized crystal structure of ZrZnCr2Rh.

Values from the calculation:
* energy relative to the elements: 5.2 eV per formula unit
* M_tot: 0.000 μB per atom

Lattice parameters (Å, degrees): 4.363 4.532 4.363 90.00 90.00 90.00
Element x y z (fractional)
Cr 0.000 0.000 0.500
Cr 0.500 0.000 0.000
Zn 0.000 0.000 0.000
Rh 0.000 0.500 0.000
Zr 0.500 0.500 0.500

10.
Density functional theory data (PBE) for an optimized crystal structure of CuSn2Pd7.

Values from the calculation:
* energy relative to the elements: -0.3 eV per formula unit
* M_tot: 0.000 μB per atom

Lattice parameters (Å, degrees): 2.895 9.022 9.022 128.00 90.00 90.00
Element x y z (fractional)
Cu 0.000 0.000 0.000
Sn 0.500 0.669 0.331
Sn 0.500 0.331 0.669
Pd 0.000 0.806 0.194
Pd 0.000 0.194 0.806
Pd 0.500 0.118 0.296
Pd 0.500 0.882 0.704
Pd 0.500 0.296 0.118
Pd 0.500 0.704 0.882
Pd 0.500 0.500 0.500

11.
Density functional theory data (PBE) for an optimized crystal structure of Sr2Gd.

Values from the calculation:
* energy relative to the elements: 0.4 eV per formula unit
* M_tot: 2.736 μB per atom

Lattice parameters (Å, degrees): 3.980 3.980 9.058 102.69 102.69 90.00
Last column: magnetic moment on the atom in μB.
Element x y z (fractional)
Sr 0.656 0.656 0.312  0.03
Sr 0.344 0.344 0.688  0.03
Gd 0.000 0.000 0.000  7.38

12.
Density functional theory data (PBE) for an optimized crystal structure of TcP2Au.

Values from the calculation:
* energy relative to the elements: 2.9 eV per formula unit
* M_tot: 0.000 μB per atom
* E above lowest polymorph: 0.880 eV per atom

Lattice parameters (Å, degrees): 4.440 4.440 4.440 60.00 60.00 60.00
Element x y z (fractional)
Au 0.500 0.500 0.500
P 0.000 0.000 0.000
P 0.250 0.250 0.250
Tc 0.750 0.750 0.750

13.
Density functional theory data (PBE) for an optimized crystal structure of Sr2CdBiN.

Values from the calculation:
* electronic total energy: -3.846 eV per atom
* M_tot: 0.000 μB per atom

Lattice parameters (Å, degrees): 5.351 5.351 4.573 90.00 90.00 90.00
Element x y z (fractional)
Sr 0.000 0.500 0.000
Sr 0.500 0.000 0.000
N 0.000 0.000 0.000
Bi 0.500 0.500 0.500
Cd 0.000 0.000 0.500

14.
Density functional theory data (PBE) for an optimized crystal structure of CaReRh2.

Values from the calculation:
* energy relative to the elements: 1.1 eV per formula unit
* M_tot: 0.288 μB per atom
* E above lowest polymorph: 0.340 eV per atom

Lattice parameters (Å, degrees): 4.546 4.546 4.546 60.00 60.00 60.00
Last column: magnetic moment on the atom in μB.
Element x y z (fractional)
Re 0.500 0.500 0.500  0.56
Ca 0.000 0.000 0.000  0.00
Rh 0.250 0.250 0.250  0.27
Rh 0.750 0.750 0.750  0.27

15.
Density functional theory data (PBE) for an optimized crystal structure of Pr3Sm7Sc.

Values from the calculation:
* energy relative to the elements: 1.9 eV per formula unit
* M_tot: 0.000 μB per atom

Lattice parameters (Å, degrees): 8.769 7.155 7.155 120.00 90.00 90.00
Element x y z (fractional)
Pr 0.780 0.499 0.501
Pr 0.780 0.499 0.998
Pr 0.780 0.002 0.501
Sm 0.122 0.168 0.832
Sm 0.122 0.168 0.336
Sm 0.122 0.667 0.333
Sm 0.448 0.833 0.167
Sm 0.448 0.335 0.167
Sm 0.448 0.833 0.665
Sm 0.122 0.664 0.832
Sc 0.442 0.333 0.667

16.
Density functional theory data (PBE) for an optimized crystal structure of RuBrCl.

Values from the calculation:
* M_tot: 1.337 μB per atom
* E above lowest polymorph: 1.255 eV per atom

Lattice parameters (Å, degrees): 4.761 4.761 4.761 60.00 60.00 60.00
Last column: magnetic moment on the atom in μB.
Element x y z (fractional)
Ru 0.500 0.500 0.500  3.04
Br 0.750 0.750 0.750  0.29
Cl 0.000 0.000 0.000  0.29

17.
Density functional theory data (PBE) for an optimized crystal structure of AcIn4Co.

Values from the calculation:
* energy relative to the elements: -1.4 eV per formula unit
* M_tot: 0.000 μB per atom
* E above lowest polymorph: 0.039 eV per atom

Lattice parameters (Å, degrees): 4.456 7.666 8.482 90.00 90.00 90.00
Element x y z (fractional)
Ac 0.000 0.605 0.750
Ac 0.000 0.395 0.250
In 0.000 0.000 0.500
In 0.000 0.000 0.000
In 0.500 0.947 0.750
In 0.500 0.053 0.250
In 0.500 0.697 0.068
In 0.500 0.303 0.932
In 0.500 0.697 0.432
In 0.500 0.303 0.568
Co 0.000 0.190 0.750
Co 0.000 0.810 0.250

18.
Density functional theory data (PBE) for an optimized crystal structure of BaNpAlO6.

Values from the calculation:
* electronic total energy: -8.152 eV per atom
* M_tot: 0.000 μB per atom

Lattice parameters (Å, degrees): 5.306 5.306 5.839 90.00 90.00 60.00
Element x y z (fractional)
Ba 0.000 0.000 0.000
Np 0.333 0.333 0.500
Al 0.667 0.667 0.500
O 0.987 0.388 0.312
O 0.388 0.987 0.688
O 0.624 0.388 0.688
O 0.987 0.624 0.688
O 0.388 0.624 0.312
O 0.624 0.987 0.312

19.
Density functional theory data (PBE) for an optimized crystal structure of Sr2HfGa3Pt4.

Values from the calculation:
* energy relative to the elements: -8.8 eV per formula unit
* M_tot: 0.000 μB per atom

Lattice parameters (Å, degrees): 4.305 4.305 11.231 90.00 90.00 90.00
Element x y z (fractional)
Sr 0.500 0.000 0.237
Sr 0.000 0.500 0.763
Hf 0.500 0.500 0.500
Ga 0.000 0.000 0.500
Ga 0.500 0.000 0.874
Ga 0.000 0.500 0.126
Pt 0.500 0.500 0.000
Pt 0.000 0.000 0.000
Pt 0.500 0.000 0.643
Pt 0.000 0.500 0.357

20.
Density functional theory data (PBE) for an optimized crystal structure of Sm2Dy4YSc.

Values from the calculation:
* energy relative to the elements: 0.3 eV per formula unit
* M_tot: 0.000 μB per atom

Lattice parameters (Å, degrees): 5.005 5.006 11.140 63.29 90.00 90.00
Element x y z (fractional)
Sm 0.000 0.000 0.000
Sm 0.500 0.000 0.500
Dy 0.000 0.756 0.744
Dy 0.000 0.244 0.256
Dy 0.500 0.745 0.255
Dy 0.500 0.255 0.745
Y 0.500 0.500 0.000
Sc 0.000 0.500 0.500